[1]
The following is a DFT calculation (GGA+U) of a geometry-optimized K2CuMoO4 structure.

Results
Its symmetry is I-4.

Unit cell a=5.6591 b=5.6591 c=5.6591 alpha=116.32 beta=116.32 gamma=96.50
Fractional coordinates of all 8 atoms:
K 0.0000 0.0000 0.0000
K 0.7500 0.2500 0.5000
Cu 0.2500 0.7500 0.5000
Mo 0.5000 0.5000 0.0000
O 0.2313 0.1452 0.6180
O 0.3867 0.7687 0.9139
O 0.5272 0.6133 0.3820
O 0.8548 0.4728 0.0861

***

[2]
The following is a DFT calculation (GGA+U) of a geometry-optimized KCu3Mo4O12 structure.

Results
Its symmetry is Im-3.

Unit cell a=6.6515 b=6.6515 c=6.6515 alpha=109.47 beta=109.47 gamma=109.47
Fractional coordinates of all 20 atoms:
K 0.0000 0.0000 0.0000
Cu 0.0000 0.5000 0.5000
Cu 0.5000 0.0000 0.5000
Cu 0.5000 0.5000 0.0000
Mo 0.0000 0.0000 0.5000
Mo 0.0000 0.5000 0.0000
Mo 0.5000 0.0000 0.0000
Mo 0.5000 0.5000 0.5000
O 0.1324 0.8220 0.3104
O 0.1780 0.3104 0.4884
O 0.1780 0.6896 0.8676
O 0.3104 0.1324 0.8220
O 0.3104 0.4884 0.1780
O 0.4884 0.1780 0.3104
O 0.5116 0.8220 0.6896
O 0.6896 0.5116 0.8220
O 0.6896 0.8676 0.1780
O 0.8220 0.3104 0.1324
O 0.8220 0.6896 0.5116
O 0.8676 0.1780 0.6896

***

[3]
The following is a DFT calculation (GGA+U) of a geometry-optimized K2Cu2MoO6 structure.

Results
Its symmetry is P-3.

Unit cell a=5.7928 b=5.7928 c=6.5290 alpha=90.00 beta=90.00 gamma=120.00
Fractional coordinates of all 11 atoms:
K 0.3333 0.6667 0.3144
K 0.6667 0.3333 0.6856
Cu 0.3333 0.6667 0.8303
Cu 0.6667 0.3333 0.1697
Mo 0.0000 0.0000 0.0000
O 0.1006 0.3064 0.8213
O 0.2058 0.8994 0.8213
O 0.3064 0.2058 0.1787
O 0.6936 0.7942 0.8213
O 0.7942 0.1006 0.1787
O 0.8994 0.6936 0.1787

***

[4]
The following is a DFT calculation (GGA+U) of a geometry-optimized KTb2CuMo4O16 structure.

Results
Its symmetry is C2/c.

Unit cell a=6.9162 b=6.9162 c=19.9009 alpha=91.81 beta=91.81 gamma=134.79
Fractional coordinates of all 48 atoms:
K 0.0309 0.9691 0.7500
K 0.9691 0.0309 0.2500
Tb 0.1459 0.8529 0.5310
Tb 0.1471 0.8541 0.9690
Tb 0.8529 0.1459 0.0310
Tb 0.8541 0.1471 0.4690
Cu 0.3122 0.6878 0.7500
Cu 0.6878 0.3122 0.2500
Mo 0.2374 0.7266 0.3552
Mo 0.2734 0.7626 0.1448
Mo 0.4119 0.5365 0.9083
Mo 0.4635 0.5881 0.5917
Mo 0.5365 0.4119 0.4083
Mo 0.5881 0.4635 0.0917
Mo 0.7266 0.2374 0.8552
Mo 0.7626 0.2734 0.6448
O 0.0212 0.7537 0.1667
O 0.0507 0.5736 0.4334
O 0.0587 0.4717 0.2863
O 0.1009 0.4105 0.1295
O 0.1683 0.5031 0.9598
O 0.2188 0.2601 0.5389
O 0.2214 0.3208 0.4005
O 0.2463 0.9788 0.3333
O 0.2601 0.2188 0.0389
O 0.3208 0.2214 0.9005
O 0.3214 0.5022 0.6715
O 0.4105 0.1009 0.6295
O 0.4264 0.9493 0.0666
O 0.4717 0.0587 0.7863
O 0.4969 0.8317 0.5402
O 0.4978 0.6786 0.8285
O 0.5022 0.3214 0.1715
O 0.5031 0.1683 0.4598
O 0.5283 0.9413 0.2137
O 0.5736 0.0507 0.9334
O 0.5895 0.8991 0.3705
O 0.6786 0.4978 0.3285
O 0.6792 0.7786 0.0995
O 0.7399 0.7812 0.9611
O 0.7537 0.0212 0.6667
O 0.7786 0.6792 0.5995
O 0.7812 0.7399 0.4611
O 0.8317 0.4969 0.0402
O 0.8991 0.5895 0.8705
O 0.9413 0.5283 0.7137
O 0.9493 0.4264 0.5666
O 0.9788 0.2463 0.8333

***

no.,raw total energy (eV per atom)
1,-5.525
2,-6.414
3,-5.445
4,-7.113